No. 1
BaTlIr2: optimized geometry, GGA-PBE.

a b c (Å): 10.3632 10.3632 10.3632
angles (deg): 17.61 17.61 17.61
Last column: nearest neighbours and their distance in Å.
Fractional positions:
Tl: 0.5146 0.5146 0.5146  3 Ir 2.94, 6 Tl 3.17
Ir: 0.9857 0.9857 0.9857  3 Ir 2.65
Ir: 0.2566 0.2566 0.2566  3 Ir 2.65, 3 Tl 2.94
Ba: 0.7431 0.7431 0.7431  6 Ba 3.17, 3 Ir 3.33

Summary:
Symmetry = No. 160

=====

No. 2
MgInSb2: optimized geometry, GGA-PBE.

a b c (Å): 4.4801 4.4801 7.0064
angles (deg): 71.35 71.35 60.00
Last column: nearest neighbours and their distance in Å.
Fractional positions:
Mg: 0.6673 0.6673 0.9980  6 Sb 2.97-2.98, 1 In 3.28
In: 0.4996 0.4996 0.5013  6 Sb 3.14-3.15, 1 Mg 3.28
Sb: 0.0749 0.0749 0.7752  3 Mg 2.97, 3 In 3.14
Sb: 0.2582 0.2582 0.2255  3 Mg 2.98, 3 In 3.15

Summary:
E_form (uncorrected) = -0.04 eV/atom
Symmetry = No. 160
Energy above the lowest structure with this stoichiometry = 49.5 meV/atom

=====

No. 3
Nd2Sm2Dy4Tm: optimized geometry, GGA-PBE.

a b c (Å): 3.6178 9.5569 9.6201
angles (deg): 115.20 90.00 100.91
Last column: nearest neighbours and their distance in Å.
Fractional positions:
Nd: 0.3351 0.6703 0.9996  3 Dy 3.54-3.57, 2 Tm 3.58, 3 Sm 3.60-3.61, 4 Nd 3.62-3.67
Nd: 0.6649 0.3297 0.0004  3 Dy 3.54-3.57, 2 Tm 3.58, 3 Sm 3.60-3.61, 4 Nd 3.62-3.67
Sm: 0.8529 0.7059 0.3369  7 Dy 3.52-3.63, 3 Nd 3.60-3.61, 2 Sm 3.62
Sm: 0.1471 0.2941 0.6631  7 Dy 3.52-3.63, 3 Nd 3.60-3.61, 2 Sm 3.62
Dy: 0.8151 0.6303 0.6650  3 Sm 3.52-3.63, 6 Dy 3.55-3.62, 1 Tm 3.57, 2 Nd 3.57
Dy: 0.1849 0.3697 0.3350  3 Sm 3.52-3.63, 6 Dy 3.55-3.62, 1 Tm 3.57, 2 Nd 3.57
Dy: 0.5191 0.0383 0.3316  1 Nd 3.54, 4 Sm 3.54-3.63, 2 Tm 3.55, 5 Dy 3.59-3.62
Dy: 0.4809 0.9617 0.6684  1 Nd 3.54, 4 Sm 3.54-3.63, 2 Tm 3.55, 5 Dy 3.59-3.62
Tm: 0.0000 0.0000 0.0000  6 Dy 3.55-3.57, 4 Nd 3.58, 2 Tm 3.62

Summary:
Symmetry = No. 12

=====

no.,DOS(E_F) (states/eV/cell),E_tot (eV per atom)
1,5.7,-4.74
2,1.6,-3.18
3,12.0,-4.65